(1)
An optimized crystal structure of AlSb2TeF. Source: Alexandria, functional PBE-GGA.

Cell lengths 4.761, 4.761, 5.482 Å; angles 90.00, 90.00, 90.00 degrees
Fractional coordinates of all 5 atoms:
Al  0.000  0.000  0.000
Sb  0.000  0.500  0.500
Sb  0.500  0.000  0.500
Te  0.500  0.500  0.000
F  0.500  0.500  0.500

Calculated values
V   24.85 A^3/atom
Total magnetization   0.0 μB per formula unit
ΔE to the lowest computed polymorph   0.000 eV per formula unit
Space-group type   No. 123
Uncorrected formation energy   0.2 kJ/mol of atoms


(2)
An optimized crystal structure of Ce3Th4Zr. Source: Alexandria, functional PBE-GGA.

Cell lengths 3.497, 3.497, 18.957 Å; angles 90.00, 90.00, 90.00 degrees
Fractional coordinates of all 8 atoms:
Ce  0.000  0.000  0.000
Ce  0.000  0.000  0.253
Ce  0.000  0.000  0.747
Th  0.500  0.500  0.127
Th  0.500  0.500  0.380
Th  0.500  0.500  0.620
Th  0.500  0.500  0.873
Zr  0.000  0.000  0.500

Calculated values
E_form   0.0293 eV per atom
V   28.97 A^3/atom
Total magnetization   0.0 μB per formula unit
Space-group type   No. 123


(3)
An optimized crystal structure of LiY3Rh4. Source: Alexandria, functional PBE-GGA.

Cell lengths 4.737, 4.737, 6.671 Å; angles 90.00, 90.00, 90.00 degrees
Fractional coordinates of all 8 atoms:
Li  0.000  0.000  0.000
Y  0.000  0.000  0.500
Y  0.500  0.500  0.000
Y  0.500  0.500  0.500
Rh  0.000  0.500  0.245
Rh  0.000  0.500  0.755
Rh  0.500  0.000  0.245
Rh  0.500  0.000  0.755

Calculated values
E_form   -0.6583 eV per atom
V   18.71 A^3/atom
Total magnetization   0.0 μB per formula unit
Space-group type   No. 123


(4)
An optimized crystal structure of CdIrAu2. Source: Alexandria, functional PBE-GGA.

Cell lengths 5.729, 5.729, 5.729 Å; angles 150.12, 129.67, 59.64 degrees
Fractional coordinates of all 4 atoms:
Cd  0.000  0.000  0.000
Ir  0.500  0.500  0.000
Au  0.262  0.762  0.500
Au  0.738  0.238  0.500

Calculated values
E_form   0.2124 eV per atom
V   17.88 A^3/atom
Total magnetization   0.2 μB per formula unit
Space-group type   No. 71


(5)
An optimized crystal structure of RbSbO2. Source: Alexandria, functional PBE-GGA.

Cell lengths 6.098, 4.308, 13.611 Å; angles 90.00, 90.00, 90.00 degrees
Fractional coordinates of all 16 atoms:
Rb  0.245  0.250  0.137
Rb  0.255  0.750  0.637
Rb  0.745  0.250  0.363
Rb  0.755  0.750  0.863
Sb  0.246  0.750  0.349
Sb  0.254  0.250  0.849
Sb  0.746  0.750  0.151
Sb  0.754  0.250  0.651
O  0.009  0.250  0.748
O  0.245  0.250  0.351
O  0.255  0.750  0.851
O  0.491  0.750  0.248
O  0.509  0.250  0.752
O  0.745  0.250  0.149
O  0.755  0.750  0.649
O  0.991  0.750  0.252

Calculated values
V   22.35 A^3/atom
Total magnetization   0.0 μB per formula unit
Space-group type   No. 62
Uncorrected formation energy   -129.7 kJ/mol of atoms


(6)
An optimized crystal structure of ScPdIO2. Source: Alexandria, functional PBE-GGA.

Cell lengths 4.176, 4.176, 5.090 Å; angles 90.00, 90.00, 90.00 degrees
Fractional coordinates of all 5 atoms:
Sc  0.000  0.000  0.000
Pd  0.500  0.500  0.500
I  0.500  0.500  0.000
O  0.000  0.500  0.500
O  0.500  0.000  0.500

Calculated values
V   17.75 A^3/atom
Total magnetization   0.0 μB per formula unit
ΔE to the lowest computed polymorph   4.451 eV per formula unit
Space-group type   No. 123
Uncorrected formation energy   -22.5 kJ/mol of atoms


(7)
An optimized crystal structure of HoZnNi6. Source: Alexandria, functional PBE-GGA.

Cell lengths 4.716, 4.716, 4.716 Å; angles 90.00, 90.00, 90.00 degrees
Fractional coordinates of all 8 atoms:
Ho  0.000  0.000  0.000
Zn  0.500  0.500  0.500
Ni  0.000  0.258  0.500
Ni  0.000  0.742  0.500
Ni  0.258  0.500  0.000
Ni  0.500  0.000  0.258
Ni  0.500  0.000  0.742
Ni  0.742  0.500  0.000

Calculated values
E_form   0.0303 eV per atom
V   13.11 A^3/atom
Total magnetization   0.9 μB per formula unit
Space-group type   No. 200


(8)
An optimized crystal structure of LaNd3Sc2. Source: Alexandria, functional PBE-GGA.

Cell lengths 8.815, 8.815, 5.534 Å; angles 90.00, 90.00, 68.82 degrees
Fractional coordinates of all 12 atoms:
La  0.238  0.762  0.750
La  0.762  0.238  0.250
Nd  0.134  0.393  0.250
Nd  0.393  0.134  0.750
Nd  0.404  0.596  0.250
Nd  0.596  0.404  0.750
Nd  0.607  0.866  0.250
Nd  0.866  0.607  0.750
Sc  0.016  0.194  0.750
Sc  0.194  0.016  0.250
Sc  0.806  0.984  0.750
Sc  0.984  0.806  0.250

Calculated values
E_form   0.2524 eV per atom
V   33.41 A^3/atom
Total magnetization   0.0 μB per formula unit
Space-group type   No. 63


(9)
An optimized crystal structure of Cr2MoPb. Source: Alexandria, functional PBE-GGA.

Cell lengths 8.777, 8.777, 8.777 Å; angles 20.09, 20.09, 20.09 degrees
Fractional coordinates of all 4 atoms:
Cr  0.000  0.000  0.000
Cr  0.265  0.265  0.265
Mo  0.734  0.734  0.734
Pb  0.500  0.500  0.500

Calculated values
E_form   0.6851 eV per atom
V   17.44 A^3/atom
Total magnetization   2.2 μB per formula unit
Space-group type   No. 160


(10)
An optimized crystal structure of Li2ScSi. Source: Alexandria, functional PBE-GGA.

Cell lengths 2.772, 2.772, 9.157 Å; angles 90.00, 90.00, 90.00 degrees
Fractional coordinates of all 4 atoms:
Li  0.000  0.000  0.211
Li  0.000  0.000  0.789
Sc  0.500  0.500  0.500
Si  0.500  0.500  0.000

Calculated values
V   17.58 A^3/atom
Total magnetization   0.0 μB per formula unit
Space-group type   No. 123
Uncorrected formation energy   6.1 kJ/mol of atoms


(11)
An optimized crystal structure of KTeAu2. Source: Alexandria, functional PBE-GGA.

Cell lengths 5.916, 5.916, 3.008 Å; angles 90.00, 90.00, 109.41 degrees
Fractional coordinates of all 4 atoms:
K  0.000  0.000  0.000
Te  0.500  0.500  0.000
Au  0.000  0.500  0.500
Au  0.500  0.000  0.500

Calculated values
V   24.83 A^3/atom
Total magnetization   0.0 μB per formula unit
Space-group type   No. 65
Uncorrected formation energy   6.3 kJ/mol of atoms


(12)
An optimized crystal structure of Sc2NbOsS. Source: Alexandria, functional PBE-GGA.

Cell lengths 4.710, 4.710, 4.359 Å; angles 90.00, 90.00, 90.00 degrees
Fractional coordinates of all 5 atoms:
Sc  0.000  0.500  0.000
Sc  0.500  0.000  0.000
Nb  0.000  0.000  0.500
Os  0.500  0.500  0.500
S  0.500  0.500  0.000

Calculated values
V   19.34 A^3/atom
Total magnetization   0.0 μB per formula unit
Space-group type   No. 123
Uncorrected formation energy   2.8 kJ/mol of atoms


(13)
An optimized crystal structure of CsGaSe2. Source: Alexandria, functional PBE-GGA.

Cell lengths 11.232, 11.232, 5.606 Å; angles 90.00, 90.00, 152.40 degrees
Fractional coordinates of all 8 atoms:
Cs  0.165  0.835  0.750
Cs  0.835  0.165  0.250
Ga  0.440  0.560  0.750
Ga  0.560  0.440  0.250
Se  0.335  0.665  0.750
Se  0.453  0.547  0.250
Se  0.547  0.453  0.750
Se  0.665  0.335  0.250

Calculated values
V   40.95 A^3/atom
Total magnetization   0.0 μB per formula unit
Space-group type   No. 63
Uncorrected formation energy   -70.9 kJ/mol of atoms


(14)
An optimized crystal structure of BaBeW2. Source: Alexandria, functional PBE-GGA.

Cell lengths 2.936, 2.936, 9.305 Å; angles 90.00, 90.00, 107.17 degrees
Fractional coordinates of all 4 atoms:
Ba  0.000  0.000  0.000
Be  0.500  0.500  0.286
W  0.000  0.000  0.464
W  0.500  0.500  0.681

Calculated values
E_form   0.9294 eV per atom
V   19.17 A^3/atom
Total magnetization   0.0 μB per formula unit
Space-group type   No. 35


(15)
An optimized crystal structure of YBeFe. Source: Alexandria, functional PBE-GGA.

Cell lengths 3.865, 3.865, 3.874 Å; angles 90.00, 90.00, 120.00 degrees
Fractional coordinates of all 3 atoms:
Y  0.000  0.000  0.000
Be  0.667  0.333  0.500
Fe  0.333  0.667  0.500

Calculated values
E_form   0.0642 eV per atom
V   16.70 A^3/atom
Total magnetization   1.0 μB per formula unit
ΔE to the lowest computed polymorph   0.347 eV per formula unit
Space-group type   No. 187


(16)
An optimized crystal structure of Sc2As2F. Source: Alexandria, functional PBE-GGA.

Cell lengths 5.535, 5.535, 5.535 Å; angles 126.05, 126.05, 79.81 degrees
Fractional coordinates of all 5 atoms:
Sc  0.250  0.750  0.500
Sc  0.750  0.250  0.500
As  0.144  0.144  0.000
As  0.856  0.856  0.000
F  0.500  0.500  0.000

Calculated values
V   21.42 A^3/atom
Total magnetization   0.0 μB per formula unit
ΔE to the lowest computed polymorph   2.171 eV per formula unit
Space-group type   No. 139
Uncorrected formation energy   -114.3 kJ/mol of atoms


(17)
An optimized crystal structure of Pu2GaGe4Ir3. Source: Alexandria, functional PBE-GGA.

Cell lengths 4.247, 4.247, 10.347 Å; angles 90.00, 90.00, 90.00 degrees
Fractional coordinates of all 10 atoms:
Pu  0.000  0.500  0.246
Pu  0.500  0.000  0.754
Ga  0.000  0.000  0.500
Ge  0.000  0.000  0.000
Ge  0.000  0.500  0.641
Ge  0.500  0.000  0.359
Ge  0.500  0.500  0.000
Ir  0.000  0.500  0.875
Ir  0.500  0.000  0.125
Ir  0.500  0.500  0.500

Calculated values
E_form   -0.4574 eV per atom
V   18.66 A^3/atom
Total magnetization   10.3 μB per formula unit
Space-group type   No. 115


(18)
An optimized crystal structure of Mg3Mo2. Source: Alexandria, functional PBE-GGA.

Cell lengths 12.447, 12.447, 12.447 Å; angles 13.41, 13.41, 13.41 degrees
Fractional coordinates of all 5 atoms:
Mg  0.000  0.000  0.000
Mg  0.203  0.203  0.203
Mg  0.797  0.797  0.797
Mo  0.399  0.399  0.399
Mo  0.601  0.601  0.601

Calculated values
E_form   0.4113 eV per atom
V   18.05 A^3/atom
Total magnetization   0.5 μB per formula unit
Space-group type   No. 166


(19)
An optimized crystal structure of Mg8Cd3Pd. Source: Alexandria, functional PBE-GGA.

Cell lengths 8.212, 8.157, 6.635 Å; angles 66.53, 65.66, 47.82 degrees
Fractional coordinates of all 12 atoms:
Mg  0.117  0.643  0.883
Mg  0.122  0.646  0.354
Mg  0.354  0.878  0.122
Mg  0.357  0.883  0.643
Mg  0.643  0.117  0.357
Mg  0.646  0.122  0.878
Mg  0.878  0.354  0.646
Mg  0.883  0.357  0.117
Cd  0.250  0.250  0.250
Cd  0.500  0.500  0.500
Cd  0.750  0.750  0.750
Pd  0.000  0.000  0.000

Calculated values
E_form   -0.0695 eV per atom
V   24.60 A^3/atom
Total magnetization   0.0 μB per formula unit
Space-group type   No. 69


(20)
An optimized crystal structure of RbLiRuO4. Source: Alexandria, functional PBE-GGA.

Cell lengths 5.757, 6.059, 7.531 Å; angles 90.00, 104.89, 90.00 degrees
Fractional coordinates of all 14 atoms:
Rb  0.233  0.250  0.448
Rb  0.767  0.750  0.552
Li  0.356  0.250  0.024
Li  0.644  0.750  0.976
Ru  0.237  0.750  0.166
Ru  0.763  0.250  0.834
O  0.005  0.250  0.035
O  0.148  0.750  0.377
O  0.448  0.524  0.177
O  0.448  0.976  0.177
O  0.552  0.024  0.823
O  0.552  0.476  0.823
O  0.852  0.250  0.623
O  0.995  0.750  0.965

Calculated values
V   18.13 A^3/atom
Total magnetization   2.0 μB per formula unit
Space-group type   No. 11
Uncorrected formation energy   -124.0 kJ/mol of atoms


(21)
An optimized crystal structure of LaRePb2. Source: Alexandria, functional PBE-GGA.

Cell lengths 5.968, 5.968, 3.317 Å; angles 97.72, 97.72, 116.75 degrees
Fractional coordinates of all 4 atoms:
La  0.000  0.000  0.000
Re  0.500  0.500  0.000
Pb  0.000  0.500  0.500
Pb  0.500  0.000  0.500

Calculated values
E_form   0.6128 eV per atom
V   25.50 A^3/atom
Total magnetization   1.1 μB per formula unit
ΔE to the lowest computed polymorph   1.235 eV per formula unit
Space-group type   No. 12


(22)
An optimized crystal structure of Ho6TlIn5. Source: Alexandria, functional PBE-GGA.

Cell lengths 6.351, 6.351, 9.936 Å; angles 96.04, 96.04, 119.77 degrees
Fractional coordinates of all 12 atoms:
Ho  0.082  0.416  0.749
Ho  0.248  0.248  0.250
Ho  0.416  0.082  0.749
Ho  0.584  0.918  0.251
Ho  0.752  0.752  0.750
Ho  0.918  0.584  0.251
Tl  0.500  0.500  0.000
In  0.000  0.000  0.500
In  0.167  0.833  0.000
In  0.334  0.666  0.500
In  0.666  0.334  0.500
In  0.833  0.167  0.000

Calculated values
E_form   -0.3165 eV per atom
V   28.35 A^3/atom
Total magnetization   0.0 μB per formula unit
ΔE to the lowest computed polymorph   1.382 eV per formula unit
Space-group type   No. 12


(23)
An optimized crystal structure of Nd4Y3Ho4. Source: Alexandria, functional PBE-GGA.

Cell lengths 10.645, 6.696, 6.696 Å; angles 50.45, 90.00, 90.00 degrees
Fractional coordinates of all 11 atoms:
Nd  0.000  0.000  0.000
Nd  0.207  0.795  0.795
Nd  0.500  0.925  0.925
Nd  0.793  0.795  0.795
Y  0.000  0.294  0.294
Y  0.290  0.451  0.451
Y  0.710  0.451  0.451
Ho  0.000  0.591  0.591
Ho  0.302  0.144  0.144
Ho  0.500  0.654  0.654
Ho  0.698  0.144  0.144

Calculated values
E_form   0.1445 eV per atom
V   33.46 A^3/atom
Total magnetization   0.0 μB per formula unit
ΔE to the lowest computed polymorph   1.217 eV per formula unit
Space-group type   No. 38


(24)
An optimized crystal structure of Co2TcSe. Source: Alexandria, functional PBE-GGA.

Cell lengths 4.611, 4.611, 4.611 Å; angles 133.21, 133.21, 68.33 degrees
Fractional coordinates of all 4 atoms:
Co  0.250  0.750  0.500
Co  0.750  0.250  0.500
Tc  0.000  0.000  0.000
Se  0.500  0.500  0.000

Calculated values
V   12.79 A^3/atom
Total magnetization   0.0 μB per formula unit
Space-group type   No. 139
Uncorrected formation energy   40.0 kJ/mol of atoms


(25)
An optimized crystal structure of HfTh. Source: Alexandria, functional PBE-GGA.

Cell lengths 5.768, 3.323, 5.784 Å; angles 90.00, 96.07, 90.00 degrees
Fractional coordinates of all 4 atoms:
Hf  0.101  0.250  0.213
Hf  0.899  0.750  0.787
Th  0.387  0.250  0.736
Th  0.613  0.750  0.264

Calculated values
E_form   0.2323 eV per atom
V   27.56 A^3/atom
Total magnetization   0.0 μB per formula unit
ΔE to the lowest computed polymorph   0.040 eV per formula unit
Space-group type   No. 11


no.,uncorrected energy (hartree per atom)
1,-0.125
2,-0.256
3,-0.257
4,-0.142
5,-0.187
6,-0.178
7,-0.185
8,-0.186
9,-0.285
10,-0.141
11,-0.097
12,-0.279
13,-0.127
14,-0.256
15,-0.226
16,-0.219
17,-0.299
18,-0.179
19,-0.066
20,-0.215
21,-0.205
22,-0.145
23,-0.184
24,-0.243
25,-0.311